(1)
# Nd3SnO2

An optimized crystal structure of Nd3SnO2 (PBE, Alexandria).

## Properties
- Formation energy without anion corrections: -2.134 eV/atom
- Total moment: 0.00 μB/f.u.
- N(E_F): 5.001 states/eV per cell

Cell lengths 4.734, 4.734, 11.991 Å; angles 90.00, 90.00, 90.00 degrees
Atoms (fractional coordinates):
Nd1 0.000 0.000 0.000
Nd2 0.000 0.500 0.250
Nd3 0.000 0.500 0.750
Nd4 0.500 0.000 0.250
Nd5 0.500 0.000 0.750
Nd6 0.500 0.500 0.500
Sn1 0.000 0.000 0.500
Sn2 0.500 0.500 0.000
O1 0.000 0.000 0.200
O2 0.000 0.000 0.800
O3 0.500 0.500 0.300
O4 0.500 0.500 0.700

=====

(2)
# ZrNi2Ag

An optimized crystal structure of ZrNi2Ag (PBE, Alexandria).

## Properties
- E_form: -112 meV per atom
- Total moment: 0.00 μB/f.u.
- N(E_F): 5.765 states/eV per cell

Cell lengths 6.034, 6.044, 3.336 Å; angles 90.00, 90.00, 90.00 degrees
Atoms (fractional coordinates):
Zr1 0.000 0.000 0.000
Zr2 0.500 0.500 0.000
Ni1 0.250 0.250 0.500
Ni2 0.250 0.750 0.500
Ni3 0.750 0.250 0.500
Ni4 0.750 0.750 0.500
Ag1 0.000 0.500 0.000
Ag2 0.500 0.000 0.000

=====

(3)
# CaNiSn2Hg

An optimized crystal structure of CaNiSn2Hg (PBE, Alexandria).

## Properties
- E_form: -178 meV per atom
- Total moment: 0.00 μB/f.u.
- N(E_F): 2.780 states/eV per cell

Cell lengths 5.000, 5.000, 5.081 Å; angles 90.00, 90.00, 90.00 degrees
Atoms (fractional coordinates):
Ca1 0.000 0.000 0.000
Ni1 0.500 0.500 0.500
Sn1 0.000 0.500 0.500
Sn2 0.500 0.000 0.500
Hg1 0.500 0.500 0.000

=====

(4)
# In3Hg2Te

An optimized crystal structure of In3Hg2Te (PBE, Alexandria).

## Properties
- Formation energy without anion corrections: -0.020 eV/atom
- Total moment: 0.00 μB/f.u.
- N(E_F): 4.780 states/eV per cell

Cell lengths 6.342, 15.144, 4.141 Å; angles 90.00, 90.00, 90.00 degrees
Atoms (fractional coordinates):
In1 0.000 0.000 0.000
In2 0.000 0.350 0.500
In3 0.000 0.650 0.500
In4 0.500 0.150 0.500
In5 0.500 0.500 0.000
In6 0.500 0.850 0.500
Hg1 0.000 0.151 0.500
Hg2 0.000 0.849 0.500
Hg3 0.500 0.349 0.500
Hg4 0.500 0.651 0.500
Te1 0.000 0.500 0.000
Te2 0.500 0.000 0.000